No. 1
An optimized crystal structure of WAuSeN2, computed with PBE.

Output
Density (g/cm3): 7.5
Symmetry: P4/mmm, No. 123
N(E_F) (states/eV/f.u.): 2.88
Polymorph energy (0 for the lowest one) (eV/atom): 1.7824
Uncorrected formation energy (meV per atom): 2227

a = 3.879 Å, b = 3.879 Å, c = 7.133 Å
α = 90.00°, β = 90.00°, γ = 90.00°
Atoms (fractional coordinates):
Au 0.000 0.000 0.000
W 0.500 0.500 0.500
N 0.500 0.000 0.000
Se 0.000 0.000 0.500
N 0.000 0.500 0.000


No. 2
An optimized crystal structure of Ca2FeAuN, computed with PBE.

Output
Density (g/cm3): 6.3
Symmetry: P4/mmm, No. 123
N(E_F) (states/eV/f.u.): 2.36
Uncorrected formation energy (meV per atom): -622

a = 5.074 Å, b = 5.074 Å, c = 3.559 Å
α = 90.00°, β = 90.00°, γ = 90.00°
Atoms (fractional coordinates):
Au 0.500 0.500 0.500
N 0.000 0.000 0.000
Ca 0.500 0.000 0.000
Ca 0.000 0.500 0.000
Fe 0.000 0.000 0.500